No. 1
This record from Alexandria via LeMat-Bulk describes a geometry-optimized AcCd2Ga structure. The functional is GGA-PBE.

Output
* relative energy among the computed polymorphs: 650 meV per atom
* crystal system: trigonal
* total moment: 0.00 μB/f.u.
* DFT formation energy: 0.27 eV/atom

Cell and atoms, written as CIF:
```
data_AcCd2Ga
_cell_length_a 3.5658
_cell_length_b 3.5658
_cell_length_c 33.0755
_cell_angle_alpha 90.00
_cell_angle_beta 90.00
_cell_angle_gamma 120.00
_symmetry_space_group_name_H-M 'R -3 m'
_symmetry_Int_Tables_number 166
_symmetry_space_group_name_Hall '-R 3 2"'
loop_
_atom_site_label
_atom_site_fract_x
_atom_site_fract_y
_atom_site_fract_z
Ac1 0.0000 0.0000 0.0000
Cd1 0.0000 0.0000 0.1014
Ga1 0.0000 0.0000 0.5000
```

No. 2
This record from Alexandria via LeMat-Bulk describes a geometry-optimized Ce3Pr3HoSe8 structure. The functional is GGA-PBE.

Output
* crystal system: trigonal
* total moment: 3.48 μB/f.u.
* uncorrected formation energy: -27.89 eV/f.u.

Cell and atoms, written as CIF:
```
data_Ce3Pr3HoSe8
_cell_length_a 8.4280
_cell_length_b 8.4280
_cell_length_c 20.7302
_cell_angle_alpha 90.00
_cell_angle_beta 90.00
_cell_angle_gamma 120.00
_symmetry_space_group_name_H-M 'R -3 m'
_symmetry_Int_Tables_number 166
_symmetry_space_group_name_Hall '-R 3 2"'
loop_
_atom_site_label
_atom_site_fract_x
_atom_site_fract_y
_atom_site_fract_z
Ce1 0.0000 0.5000 0.0000
Pr1 0.0000 0.5000 0.5000
Ho1 0.0000 0.0000 0.0000
Se1 0.0000 0.0000 0.2515
Se2 0.0058 0.5029 0.7471
```

No. 3
This record from Alexandria via LeMat-Bulk describes a geometry-optimized Rb3Ag2PbI6 structure. The functional is GGA-PBE.

Output
* crystal system: trigonal
* total moment: 0.00 μB/f.u.
* uncorrected formation energy: -8.86 eV/f.u.

Cell and atoms, written as CIF:
```
data_Rb3Ag2PbI6
_cell_length_a 9.2772
_cell_length_b 9.2772
_cell_length_c 9.0072
_cell_angle_alpha 90.00
_cell_angle_beta 90.00
_cell_angle_gamma 120.00
_symmetry_space_group_name_H-M 'P -3 m 1'
_symmetry_Int_Tables_number 164
_symmetry_space_group_name_Hall '-P 3 2"'
loop_
_atom_site_label
_atom_site_fract_x
_atom_site_fract_y
_atom_site_fract_z
Rb1 0.0000 0.0000 0.0000
Rb2 0.3333 0.6667 0.6030
Ag1 0.3333 0.6667 0.1998
Pb1 0.0000 0.0000 0.5000
I1 0.1651 0.3303 0.2854
```

No. 4
This record from Alexandria via LeMat-Bulk describes a geometry-optimized Tl2InCo structure. The functional is GGA-PBE.

Output
* relative energy among the computed polymorphs: 166 meV per atom
* crystal system: orthorhombic
* total moment: 0.84 μB/f.u.
* DFT formation energy: 0.39 eV/atom

Cell and atoms, written as CIF:
```
data_Tl2InCo
_cell_length_a 4.544
_cell_length_b 4.551
_cell_length_c 8.822
_cell_angle_alpha 90.00
_cell_angle_beta 90.00
_cell_angle_gamma 90.00
_symmetry_space_group_name_H-M 'C m m m'
_symmetry_Int_Tables_number 65
_symmetry_space_group_name_Hall '-C 2 2'
loop_
_atom_site_label
_atom_site_fract_x
_atom_site_fract_y
_atom_site_fract_z
Tl1 0.000 0.000 0.190
In1 0.000 0.500 0.500
Co1 0.000 0.500 0.000
```